(1)
Material: DyS
Method: DFT, PBE
State: optimized geometry

Cell and atoms, written as extended XYZ:
```
6
Lattice="-2.099 1.839 2.714 -1.593 -0.847 -3.450 -2.956 -8.444 3.436" Properties=species:S:1:pos:R:3 pbc="T T T"
Dy 0.000 0.000 0.000
Dy -2.916 -1.871 1.805
Dy -3.732 -5.580 0.895
S -2.253 -1.355 -0.824
S -1.478 -4.222 1.718
S -4.395 -6.096 3.524
```

E in eV per atom: -6.36
Magnetic moment in μB/cell: 0.01
V in Å³/cell: 125.8
SG: R-3m (166)

***

(2)
Material: DyS
Method: DFT, PBE
State: optimized geometry

Cell and atoms, written as extended XYZ:
```
2
Lattice="-0.634 -3.708 -1.027 -3.609 -1.192 -0.871 -0.930 -0.871 -3.686" Properties=species:S:1:pos:R:3 pbc="T T T"
Dy 0.000 0.000 0.000
S -2.587 -2.886 -2.792
```

E in eV per atom: -6.36
Magnetic moment in μB/cell: 0.00
V in Å³/cell: 41.9
SG: Fm-3m (225)

***

(3)
Material: DyS
Method: DFT, PBE
State: optimized geometry

Cell and atoms, written as extended XYZ:
```
12
Lattice="2.179 -3.773 0.000 2.179 3.773 0.000 0.000 0.000 23.442" Properties=species:S:1:pos:R:3 pbc="T T T"
Dy 2.179 2.489 2.859
Dy 2.179 -2.612 5.860
Dy 2.179 2.489 8.862
Dy 2.179 -2.489 14.580
Dy 2.179 2.612 17.581
Dy 2.179 -2.489 20.583
S 2.179 -0.028 1.954
S 2.179 2.418 5.860
S 2.179 -0.028 9.767
S 2.179 0.028 13.675
S 2.179 -2.418 17.581
S 2.179 0.028 21.488
```

E in eV per atom: -5.70
Magnetic moment in μB/cell: 0.05
V in Å³/cell: 385.5
SG: Cmcm (63)

***

(4)
Material: DyS2
Method: DFT, PBE
State: optimized geometry

Cell and atoms, written as extended XYZ:
```
6
Lattice="4.392 -2.185 0.000 4.392 2.185 0.000 -0.725 0.000 7.169" Properties=species:S:1:pos:R:3 pbc="T T T"
Dy 7.028 0.000 1.994
Dy 1.030 0.000 5.176
S 3.414 0.000 0.360
S 0.971 0.000 2.455
S 7.088 0.000 4.714
S 4.644 0.000 6.809
```

E in eV per atom: -6.02
Magnetic moment in μB/cell: 0.00
V in Å³/cell: 137.6
SG: C2/m (12)

***

(5)
Material: DyS4
Method: DFT, PBE
State: optimized geometry

Cell and atoms, written as extended XYZ:
```
10
Lattice="3.559 -4.123 0.000 3.559 4.123 0.000 -2.656 0.000 8.134" Properties=species:S:1:pos:R:3 pbc="T T T"
Dy 3.559 -2.105 0.000
Dy 3.559 2.105 0.000
S 1.814 0.000 0.662
S 1.760 -2.357 2.280
S 1.760 2.357 2.280
S 4.887 0.000 3.211
S -0.425 0.000 4.923
S 2.702 -2.357 5.854
S 2.702 2.357 5.854
S 2.648 0.000 7.472
```

E in eV per atom: -5.07
Magnetic moment in μB/cell: 0.01
V in Å³/cell: 238.7
SG: C2/m (12)

***

(6)
Material: Dy3Sb2S
Method: DFT, PBE
State: optimized geometry

Cell and atoms, written as extended XYZ:
```
6
Lattice="4.233 0.000 0.000 -2.117 3.666 0.000 0.000 0.000 10.342" Properties=species:S:1:pos:R:3 pbc="T T T"
Dy 0.000 0.000 0.000
Dy 2.117 1.222 3.670
Dy 0.000 2.444 6.672
S 0.000 0.000 5.171
Sb 0.000 2.444 1.842
Sb 2.117 1.222 8.500
```

E in eV per atom: -5.75
Magnetic moment in μB/cell: 0.00
V in Å³/cell: 160.5
SG: P-3m1 (164)

***

(7)
Material: Dy2SbS
Method: DFT, PBE
State: optimized geometry

Cell and atoms, written as extended XYZ:
```
4
Lattice="-2.467 -2.073 -2.660 2.566 -3.292 0.186 -3.094 -2.154 4.548" Properties=species:S:1:pos:R:3 pbc="T T T"
Dy 0.000 0.000 0.000
Dy -1.497 -3.760 1.037
S -1.547 -1.077 2.274
Sb 0.050 -2.683 -1.237
```

E in eV per atom: -5.82
Magnetic moment in μB/cell: 0.01
V in Å³/cell: 103.1
SG: P4/mmm (123)

***

(8)
Material: Dy3Se2S
Method: DFT, PBE
State: optimized geometry

Cell and atoms, written as extended XYZ:
```
6
Lattice="-2.004 2.834 6.069 2.004 -2.834 6.069 2.004 2.834 -6.069" Properties=species:S:1:pos:R:3 pbc="T T T"
Dy 0.000 2.834 0.000
Dy 0.000 2.834 4.239
Dy 2.004 0.000 1.830
S 0.000 0.000 0.000
Se 0.000 0.000 3.981
Se 0.000 0.000 8.157
```

E in eV per atom: -5.98
Magnetic moment in μB/cell: 0.02
V in Å³/cell: 137.9
SG: Immm (71)

***

(9)
Material: Dy3Se2S
Method: DFT, PBE
State: optimized geometry

Cell and atoms, written as extended XYZ:
```
6
Lattice="4.009 0.000 0.000 -2.005 3.472 0.000 0.000 0.000 9.879" Properties=species:S:1:pos:R:3 pbc="T T T"
Dy 0.000 0.000 0.000
Dy 2.005 1.157 3.442
Dy 0.000 2.315 6.437
S 0.000 0.000 4.939
Se 0.000 2.315 1.702
Se 2.005 1.157 8.177
```

E in eV per atom: -5.98
Magnetic moment in μB/cell: 0.00
V in Å³/cell: 137.5
SG: P-3m1 (164)

***

(10)
Material: Dy2SeS
Method: DFT, PBE
State: optimized geometry

Cell and atoms, written as extended XYZ:
```
8
Lattice="-0.289 1.737 3.530 -3.928 0.303 -0.471 -1.303 -11.360 3.553" Properties=species:S:1:pos:R:3 pbc="T T T"
Dy -1.226 -0.758 1.378
Dy -3.647 -2.049 4.033
Dy -1.873 -7.270 2.580
Dy -4.294 -8.561 5.234
S -3.324 0.332 2.871
S -2.196 -9.651 3.742
Se -1.583 -3.402 2.661
Se -3.936 -5.917 3.951
```

E in eV per atom: -6.00
Magnetic moment in μB/cell: 0.01
V in Å³/cell: 185.5
Energy above the most stable polymorph in this dataset in eV/atom: 0.051
SG: P2_1/m (11)

***

(11)
Material: Dy2SeS
Method: DFT, PBE
State: optimized geometry

Cell and atoms, written as extended XYZ:
```
8
Lattice="4.003 0.000 0.000 0.000 3.980 0.000 0.000 0.000 11.288" Properties=species:S:1:pos:R:3 pbc="T T T"
Dy 0.000 0.013 1.415
Dy 2.002 2.004 4.229
Dy 0.000 3.967 7.059
Dy 2.002 1.976 9.873
S 0.000 0.014 4.236
S 0.000 3.966 9.881
Se 2.002 2.005 1.408
Se 2.002 1.975 7.052
```

E in eV per atom: -6.05
Magnetic moment in μB/cell: 0.00
V in Å³/cell: 179.9
Energy above the most stable polymorph in this dataset in eV/atom: 0.000
SG: Pmc2_1 (26)

***

(12)
Material: Dy4Si3S12
Method: DFT, PBE
State: optimized geometry

Cell and atoms, written as extended XYZ:
```
76
Lattice="9.881 0.000 0.000 0.000 11.045 0.000 -6.138 0.000 16.019" Properties=species:S:1:pos:R:3 pbc="T T T"
Dy 1.464 9.379 0.947
Dy 4.333 5.718 2.009
Dy 5.148 1.393 2.124
Dy -0.999 2.602 3.363
Dy 7.811 8.124 4.647
Dy 1.664 6.915 5.885
Dy 2.479 0.196 6.001
Dy 5.348 3.856 7.063
Dy -1.605 7.188 8.957
Dy 1.264 10.849 10.018
Dy 2.079 4.129 10.134
Dy -4.068 2.920 11.372
Dy 4.742 8.443 12.656
Dy -1.405 9.652 13.895
Dy -0.590 5.327 14.011
Dy 2.278 1.666 15.072
S 3.907 8.187 0.229
S 6.672 10.791 0.386
S 6.592 6.147 0.431
S 9.163 3.782 0.852
S -0.044 0.706 1.493
S 8.878 8.511 2.040
S 3.054 3.190 2.157
S 6.422 3.831 2.958
S 2.232 7.336 2.990
S 3.135 10.580 2.993
S 5.633 7.960 3.067
S 7.290 0.269 3.669
S -0.478 5.792 4.341
S 1.179 2.438 4.943
S 3.677 5.058 5.016
S 4.580 1.814 5.020
S 0.390 9.353 5.052
S 3.758 8.712 5.853
S -2.066 2.988 5.970
S 6.856 6.228 6.517
S -2.351 9.304 7.158
S 0.220 0.625 7.579
S 0.140 5.269 7.624
S 2.905 2.665 7.781
S 0.838 8.380 8.238
S 3.603 5.776 8.395
S 3.523 10.420 8.440
S 6.094 1.740 8.861
S -3.113 4.816 9.502
S 5.809 8.056 10.050
S -0.015 2.332 10.166
S 3.353 1.692 10.967
S -0.837 9.231 10.999
S 0.066 5.986 11.003
S 2.564 8.607 11.076
S 4.221 5.253 11.678
S -3.547 10.775 12.351
S -1.890 3.085 12.952
S 0.608 0.464 13.026
S 1.511 3.709 13.029
S -2.679 7.214 13.062
S 0.689 7.855 13.863
S -5.135 2.534 13.979
S 3.787 10.339 14.526
S -5.420 7.263 15.168
S -2.849 4.898 15.588
S -2.929 0.254 15.633
S -0.164 2.857 15.790
Si 7.118 4.206 0.963
Si 8.146 10.472 1.888
Si 3.756 8.668 3.744
Si 3.055 3.146 4.265
Si -1.334 4.950 6.122
Si -0.306 9.728 7.046
Si 4.049 1.316 8.973
Si 5.077 6.095 9.897
Si 0.687 7.899 11.754
Si -0.014 2.376 12.275
Si -4.403 0.573 14.132
Si -3.375 6.839 15.056
```

E in eV per atom: -5.84
Magnetic moment in μB/cell: 0.00
V in Å³/cell: 1748.2
SG: P2_1/c (14)

***

(13)
Material: Sm2DyS3
Method: DFT, PBE
State: optimized geometry

Cell and atoms, written as extended XYZ:
```
6
Lattice="-0.120 3.586 -1.684 -3.236 -2.288 0.021 -2.708 3.908 8.515" Properties=species:S:1:pos:R:3 pbc="T T T"
Dy 0.000 0.000 0.000
S -2.627 0.290 0.805
S -1.354 1.954 4.258
S -3.437 4.915 6.048
Sm -2.056 2.923 1.706
Sm -4.008 2.283 5.146
```

E in eV per atom: -6.42
Magnetic moment in μB/cell: 0.00
V in Å³/cell: 132.7
SG: P-3m1 (164)

***

(14)
Material: SmDy3S6
Method: DFT, PBE
State: optimized geometry

Cell and atoms, written as extended XYZ:
```
20
Lattice="-1.704 -6.708 -8.612 -0.751 -3.004 2.488 -9.847 4.817 2.845" Properties=species:S:1:pos:R:3 pbc="T T T"
Dy -1.375 -5.309 -5.238
Dy -4.200 -2.079 -2.192
Dy -6.077 -5.884 -4.181
Dy -6.225 0.989 0.901
Dy -8.102 -2.815 -1.087
Dy -10.927 0.414 1.958
S -2.437 -8.015 -5.655
S -2.105 -3.416 -3.173
S -3.224 -2.905 0.276
S -4.033 -4.952 -5.609
S -4.677 -0.861 2.306
S -5.908 -4.185 -2.079
S -6.394 -0.709 -1.200
S -7.625 -4.034 -5.585
S -8.269 0.057 2.330
S -9.078 -1.990 -3.555
S -10.197 -1.479 -0.107
S -9.865 3.120 2.375
Sm -2.160 -0.136 0.770
Sm -10.141 -4.759 -4.049
```

E in eV per atom: -6.41
Magnetic moment in μB/cell: 0.00
V in Å³/cell: 470.9
SG: P2_1/m (11)

***

(15)
Material: SmDyS2
Method: DFT, PBE
State: optimized geometry

Cell and atoms, written as extended XYZ:
```
4
Lattice="3.413 -1.977 0.000 3.413 1.977 0.000 -2.288 0.000 6.468" Properties=species:S:1:pos:R:3 pbc="T T T"
Dy 0.000 0.000 0.000
S 4.549 0.000 1.551
S -0.010 0.000 4.916
Sm 2.269 0.000 3.234
```

E in eV per atom: -6.40
Magnetic moment in μB/cell: 0.01
V in Å³/cell: 87.3
Energy above the most stable polymorph in this dataset in eV/atom: 0.000
SG: C2/m (12)

***

(16)
Material: SmDyS2
Method: DFT, PBE
State: optimized geometry

Cell and atoms, written as extended XYZ:
```
4
Lattice="3.953 0.000 0.000 0.000 3.953 0.000 0.000 0.000 5.592" Properties=species:S:1:pos:R:3 pbc="T T T"
Dy 0.000 0.000 0.000
S 1.976 1.976 0.000
S 0.000 0.000 2.796
Sm 1.976 1.976 2.796
```

E in eV per atom: -6.39
Magnetic moment in μB/cell: 0.01
V in Å³/cell: 87.4
Energy above the most stable polymorph in this dataset in eV/atom: 0.011
SG: P4/mmm (123)

***

(17)
Material: SrDy2S4
Method: DFT, PBE
State: optimized geometry

Cell and atoms, written as extended XYZ:
```
28
Lattice="12.007 0.000 0.000 0.000 3.996 0.000 0.000 0.000 14.364" Properties=species:S:1:pos:R:3 pbc="T T T"
Dy 5.046 0.999 1.453
Dy 0.833 2.997 1.575
Dy 6.837 2.997 5.607
Dy 11.049 0.999 5.729
Dy 0.958 2.997 8.635
Dy 5.171 0.999 8.757
Dy 11.174 0.999 12.789
Dy 6.962 2.997 12.911
S 7.579 0.999 0.378
S 10.988 0.999 1.136
S 2.501 0.999 2.513
S 5.746 2.997 3.105
S 11.750 2.997 4.077
S 8.505 0.999 4.669
S 4.984 0.999 6.046
S 1.575 0.999 6.804
S 10.432 2.997 7.561
S 7.023 2.997 8.318
S 3.503 2.997 9.695
S 0.257 0.999 10.287
S 6.261 0.999 11.259
S 9.507 2.997 11.851
S 1.019 2.997 13.229
S 4.429 2.997 13.986
Sr 8.921 2.997 2.326
Sr 2.918 2.997 4.857
Sr 9.090 0.999 9.508
Sr 3.086 0.999 12.039
```

E in eV per atom: -6.05
Magnetic moment in μB/cell: 0.00
V in Å³/cell: 689.3
SG: Pnma (62)

***

(18)
Material: DyTa2S5
Method: DFT, PBE
State: optimized geometry

Cell and atoms, written as extended XYZ:
```
16
Lattice="3.617 -0.563 -5.902 -3.989 3.681 4.331 13.150 5.371 7.546" Properties=species:S:1:pos:R:3 pbc="T T T"
Dy 4.059 2.367 -0.187
Dy 8.718 6.122 6.163
S 3.391 0.556 -3.626
S 1.624 1.751 -0.835
S 1.274 3.922 3.560
S 5.712 3.420 1.511
S 7.911 2.402 -1.033
S 4.866 6.088 7.008
S 7.065 5.069 4.464
S 11.503 4.568 2.416
S 11.153 6.739 6.810
S 9.386 7.934 9.602
Ta -1.519 3.170 2.729
Ta 3.262 5.123 5.473
Ta 9.515 3.367 0.502
Ta 14.297 5.320 3.246
```

E in eV per atom: -7.22
Magnetic moment in μB/cell: 0.00
V in Å³/cell: 379.4
SG: Cmcm (63)

***

(19)
Material: TbDyS4
Method: DFT, PBE
State: optimized geometry

Cell and atoms, written as extended XYZ:
```
6
Lattice="4.405 -2.172 0.000 4.405 2.172 0.000 -0.708 0.000 7.227" Properties=species:S:1:pos:R:3 pbc="T T T"
Dy 7.052 0.000 2.013
S 3.424 0.000 0.355
S 0.974 0.000 2.472
S 7.128 0.000 4.741
S 4.678 0.000 6.888
Tb 1.049 0.000 5.212
```

E in eV per atom: -6.02
Magnetic moment in μB/cell: 0.00
V in Å³/cell: 138.3
SG: Cm (8)

***

(20)
Material: TbDyS2
Method: DFT, PBE
State: optimized geometry

Cell and atoms, written as extended XYZ:
```
4
Lattice="0.674 1.028 3.715 -2.887 1.535 2.150 -0.933 -6.697 -0.048" Properties=species:S:1:pos:R:3 pbc="T T T"
Dy -1.106 1.281 2.932
S -0.783 -1.021 1.450
S -2.362 -3.113 4.367
Tb -0.466 -3.348 -0.024
```

E in eV per atom: -6.37
Magnetic moment in μB/cell: 0.00
V in Å³/cell: 84.6
SG: C2/m (12)

***

(21)
Material: TbDyS2
Method: DFT, PBE
State: optimized geometry

Cell and atoms, written as extended XYZ:
```
4
Lattice="3.910 0.000 0.000 0.000 3.910 0.000 0.000 0.000 5.532" Properties=species:S:1:pos:R:3 pbc="T T T"
Dy 0.000 0.000 0.000
S 1.955 1.955 0.000
S 0.000 0.000 2.766
Tb 1.955 1.955 2.766
```

E in eV per atom: -6.37
Magnetic moment in μB/cell: 0.00
V in Å³/cell: 84.6
SG: P4/mmm (123)